(1)
The following is a PBEsol calculation of a relaxed CaCd2Cl crystal, from the Alexandria database.

a = 3.7582 Å, b = 5.1903 Å, c = 5.9260 Å
α = 109.91°, β = 90.00°, γ = 111.23°
Fractional positions:
Ca: 0.2372 0.4744 0.6541
Cl: 0.5193 0.0387 0.6096
Cd: 0.0024 0.0047 0.0710
Cd: 0.7411 0.4823 0.1653

Results
total magnetic moment: 0.0 μB/cell
ΔE_f (raw): -0.703 eV/atom

---

(2)
The following is a PBEsol calculation of a relaxed HoSi2Pt2 crystal, from the Alexandria database.

a = 4.1157 Å, b = 4.1157 Å, c = 5.7142 Å
α = 111.11°, β = 111.11°, γ = 90.00°
Fractional positions:
Si: 0.6168 0.6168 0.2337
Si: 0.3832 0.3832 0.7663
Ho: 0.0000 0.0000 0.0000
Pt: 0.7500 0.2500 0.5000
Pt: 0.2500 0.7500 0.5000

Results
total magnetic moment: 0.0 μB/cell
ΔE_f (raw): -1.072 eV/atom

---

(3)
The following is a PBEsol calculation of a relaxed Y2HPb crystal, from the Alexandria database.

a = 5.0512 Å, b = 5.0512 Å, c = 5.0512 Å
α = 60.00°, β = 60.00°, γ = 60.00°
Fractional positions:
Pb: 0.5000 0.5000 0.5000
Y: 0.2500 0.2500 0.2500
Y: 0.7500 0.7500 0.7500
H: 0.0000 0.0000 0.0000

Results
final energy: -21.67 eV/f.u.
total magnetic moment: 0.0 μB/cell

---

(4)
The following is a PBEsol calculation of a relaxed BaLiHfSn2 crystal, from the Alexandria database.

a = 5.0533 Å, b = 5.0211 Å, c = 5.0211 Å
α = 90.00°, β = 90.00°, γ = 90.00°
Fractional positions:
Li: 0.0000 0.0000 0.0000
Hf: 0.5000 0.0000 0.0000
Ba: 0.5000 0.5000 0.5000
Sn: 0.0000 0.0000 0.5000
Sn: 0.0000 0.5000 0.0000

Results
formation energy: 0.184 eV per atom
total magnetic moment: 0.0 μB/cell

---

(5)
The following is a PBEsol calculation of a relaxed LuAl10Os2 crystal, from the Alexandria database.

a = 6.7934 Å, b = 6.7934 Å, c = 9.0474 Å
α = 90.00°, β = 90.00°, γ = 96.58°
Fractional positions:
Lu: 0.8686 0.1314 0.7500
Lu: 0.1314 0.8686 0.2500
Al: 0.5204 0.7834 0.7500
Al: 0.7834 0.5204 0.2500
Al: 0.4796 0.2166 0.2500
Al: 0.2166 0.4796 0.7500
Al: 0.6239 0.3761 0.9530
Al: 0.3761 0.6239 0.0470
Al: 0.6239 0.3761 0.5470
Al: 0.3761 0.6239 0.4530
Al: 0.4171 0.1473 0.7500
Al: 0.1473 0.4171 0.2500
Al: 0.5829 0.8527 0.2500
Al: 0.8527 0.5829 0.7500
Al: 0.8461 0.1539 0.3997
Al: 0.1539 0.8461 0.6003
Al: 0.8461 0.1539 0.1003
Al: 0.1539 0.8461 0.8997
Al: 0.7772 0.7772 0.0000
Al: 0.7772 0.7772 0.5000
Al: 0.2228 0.2228 0.0000
Al: 0.2228 0.2228 0.5000
Os: 0.5000 0.0000 0.0000
Os: 0.0000 0.5000 0.0000
Os: 0.5000 0.0000 0.5000
Os: 0.0000 0.5000 0.5000

Results
formation energy: -0.439 eV per atom
total magnetic moment: 0.0 μB/cell

---

(6)
The following is a PBEsol calculation of a relaxed ZnIrSeN2 crystal, from the Alexandria database.

a = 3.7302 Å, b = 3.7302 Å, c = 5.5876 Å
α = 90.00°, β = 90.00°, γ = 90.00°
Fractional positions:
Zn: 0.5000 0.5000 0.5000
Ir: 0.0000 0.0000 0.0000
Se: 0.0000 0.0000 0.5000
N: 0.0000 0.5000 0.0000
N: 0.5000 0.0000 0.0000

Results
total magnetic moment: 0.0 μB/cell
ΔE_f (raw): 0.602 eV/atom

---

(7)
The following is a PBEsol calculation of a relaxed SrAgB7O12 crystal, from the Alexandria database.

a = 6.6418 Å, b = 6.6670 Å, c = 22.0114 Å
α = 88.93°, β = 87.85°, γ = 60.12°
Fractional positions:
Sr: 0.8311 0.3306 0.0572
Sr: 0.1689 0.6694 0.9428
Sr: 0.8384 0.3306 0.4428
Sr: 0.1616 0.6694 0.5572
Ag: 0.2648 0.1980 0.8001
Ag: 0.7352 0.8020 0.1999
Ag: 0.4628 0.8020 0.3001
Ag: 0.5372 0.1980 0.6999
B: 0.7081 0.4553 0.8091
B: 0.3408 0.2404 0.4368
B: 0.5812 0.7596 0.9368
B: 0.4188 0.2404 0.0632
B: 0.6592 0.7596 0.5632
B: 0.7689 0.0900 0.3074
B: 0.3319 0.9298 0.0921
B: 0.1576 0.6672 0.0829
B: 0.2749 0.6882 0.7899
B: 0.4278 0.8410 0.4377
B: 0.7382 0.9298 0.4079
B: 0.2311 0.9100 0.6926
B: 0.1411 0.0900 0.1926
B: 0.2618 0.0702 0.5921
B: 0.7311 0.8410 0.0623
B: 0.8366 0.4553 0.6909
B: 0.8248 0.3328 0.5829
B: 0.8589 0.9100 0.8074
B: 0.8424 0.3328 0.9171
B: 0.0369 0.6882 0.7101
B: 0.1752 0.6672 0.4171
B: 0.2919 0.5447 0.1909
B: 0.1634 0.5447 0.3091
B: 0.7251 0.3118 0.2101
B: 0.5722 0.1590 0.5623
B: 0.9631 0.3118 0.2899
B: 0.6681 0.0702 0.9079
B: 0.2689 0.1590 0.9377
O: 0.5707 0.1680 0.4314
O: 0.2869 0.8740 0.7530
O: 0.8314 0.1270 0.9316
O: 0.3411 0.2332 0.5710
O: 0.9584 0.8730 0.4316
O: 0.9269 0.1996 0.1664
O: 0.6351 0.3228 0.5514
O: 0.2114 0.5772 0.2500
O: 0.5218 0.4326 0.1739
O: 0.0416 0.1270 0.5684
O: 0.3649 0.6772 0.4486
O: 0.7202 0.9417 0.3407
O: 0.5743 0.7668 0.0710
O: 0.9578 0.6772 0.0514
O: 0.2674 0.0760 0.4369
O: 0.2613 0.1680 0.0686
O: 0.7326 0.9240 0.5631
O: 0.6315 0.5366 0.9445
O: 0.8391 0.8740 0.7470
O: 0.8735 0.1996 0.3336
O: 0.4782 0.5674 0.8261
O: 0.8768 0.3650 0.8522
O: 0.1681 0.4634 0.4445
O: 0.3685 0.4634 0.0555
O: 0.0422 0.3228 0.9486
O: 0.6567 0.0760 0.0631
O: 0.8319 0.5366 0.5555
O: 0.7886 0.4228 0.7500
O: 0.9544 0.5674 0.6739
O: 0.3433 0.9240 0.9369
O: 0.3382 0.9417 0.1593
O: 0.7131 0.1260 0.2470
O: 0.2309 0.5383 0.7500
O: 0.0731 0.8004 0.8336
O: 0.2798 0.0583 0.6593
O: 0.4257 0.2332 0.9290
O: 0.1686 0.8730 0.0684
O: 0.4293 0.8320 0.5686
O: 0.1265 0.8004 0.6664
O: 0.2418 0.6350 0.3522
O: 0.1609 0.1260 0.2530
O: 0.6618 0.0583 0.8407
O: 0.1232 0.6350 0.1478
O: 0.6589 0.7668 0.4290
O: 0.0456 0.4326 0.3261
O: 0.7387 0.8320 0.9314
O: 0.7582 0.3650 0.6478
O: 0.7691 0.4617 0.2500

Results
total magnetic moment: 0.0 μB/cell
ΔE_f (raw): -2.400 eV/atom

---

(8)
The following is a PBEsol calculation of a relaxed CuAsO3 crystal, from the Alexandria database.

a = 5.0163 Å, b = 5.0163 Å, c = 5.6110 Å
α = 63.45°, β = 63.45°, γ = 60.00°
Site moments in Bohr magnetons follow the coordinates.
Fractional positions:
Cu: 0.8912 0.8912 0.3265  0.07
Cu: 0.1088 0.1088 0.6735  0.07
As: 0.6641 0.6641 0.0077  0.00
As: 0.3359 0.3359 0.9923  0.00
O: 0.5479 0.3013 0.2193  0.00
O: 0.6987 0.0686 0.7807  0.00
O: 0.0686 0.4521 0.7807  0.00
O: 0.9314 0.5479 0.2193  0.00
O: 0.3013 0.9314 0.2193  0.00
O: 0.4521 0.6987 0.7807  0.00

Results
total magnetic moment: 0.2 μB/cell
ΔE_f (raw): -0.888 eV/atom

---

(9)
The following is a PBEsol calculation of a relaxed ScCuP2 crystal, from the Alexandria database.

a = 3.7039 Å, b = 3.7039 Å, c = 5.9344 Å
α = 90.00°, β = 90.00°, γ = 120.00°
Fractional positions:
Cu: 0.6667 0.3333 0.6120
P: 0.6667 0.3333 0.2411
P: 0.3333 0.6667 0.7199
Sc: 0.0000 0.0000 0.9842

Results
formation energy: -0.458 eV per atom
total magnetic moment: 0.0 μB/cell

---

(10)
The following is a PBEsol calculation of a relaxed ScSbIN2 crystal, from the Alexandria database.

a = 4.0973 Å, b = 4.0973 Å, c = 5.8590 Å
α = 90.00°, β = 90.00°, γ = 90.00°
Fractional positions:
I: 0.0000 0.0000 0.5000
Sb: 0.0000 0.0000 0.0000
Sc: 0.5000 0.5000 0.5000
N: 0.0000 0.5000 0.0000
N: 0.5000 0.0000 0.0000

Results
total magnetic moment: 0.0 μB/cell
ΔE_f (raw): 0.904 eV/atom

---

(11)
The following is a PBEsol calculation of a relaxed K2AlCd crystal, from the Alexandria database.

a = 5.8051 Å, b = 5.8051 Å, c = 5.8051 Å
α = 60.00°, β = 60.00°, γ = 60.00°
Fractional positions:
K: 0.2500 0.2500 0.2500
K: 0.7500 0.7500 0.7500
Al: 0.0000 0.0000 0.0000
Cd: 0.5000 0.5000 0.5000

Results
formation energy: 0.377 eV per atom
total magnetic moment: 0.0 μB/cell

---

(12)
The following is a PBEsol calculation of a relaxed OsC2 crystal, from the Alexandria database.

a = 2.7774 Å, b = 2.7774 Å, c = 3.8597 Å
α = 111.09°, β = 111.09°, γ = 90.00°
Fractional positions:
C: 0.6726 0.6726 0.3452
C: 0.3274 0.3274 0.6548
Os: 0.0000 0.0000 0.0000

Results
formation energy: 1.909 eV per atom
total magnetic moment: 0.0 μB/cell

---

Which value of total magnetic moment does entry 4 give?
0.0 μB/cell